The following is a PBE+U calculation of crystalline LiVF4 at its relaxed geometry, from Alexandria via LeMat-Bulk.

Cell: 7.564 7.792 10.980 Å, 90.00 90.00 90.00°
Each line ends with the local moment (μB).
Element x y z (fractional)
F  0.250  0.436  0.822  0.01
V  0.001  0.106  0.252  1.91
F  0.250  0.633  0.322  0.01
Li  0.250  0.972  0.992  0.00
F  0.426  0.417  0.588  0.00
F  0.926  0.917  0.912  0.00
F  0.546  0.855  0.256  0.00
Li  0.750  0.028  0.008  0.00
F  0.750  0.367  0.678  0.01
F  0.750  0.564  0.178  0.01
F  0.574  0.917  0.912  0.00
V  0.999  0.894  0.748  1.91
F  0.750  0.133  0.178  0.01
Li  0.750  0.013  0.509  0.00
F  0.954  0.855  0.256  0.00
V  0.001  0.394  0.752  1.91
Li  0.750  0.472  0.508  0.00
Li  0.250  0.513  0.991  0.00
F  0.929  0.122  0.419  0.00
F  0.929  0.378  0.919  0.00
F  0.046  0.355  0.244  0.00
F  0.250  0.064  0.322  0.01
F  0.926  0.583  0.412  0.00
F  0.429  0.878  0.581  0.00
F  0.426  0.083  0.088  0.00
F  0.750  0.936  0.678  0.01
Li  0.250  0.528  0.492  0.00
V  0.499  0.106  0.252  1.91
F  0.574  0.583  0.412  0.00
F  0.571  0.122  0.419  0.00
F  0.074  0.417  0.588  0.00
F  0.250  0.867  0.822  0.01
F  0.429  0.622  0.081  0.00
V  0.501  0.606  0.248  1.91
V  0.501  0.894  0.748  1.91
F  0.954  0.645  0.756  0.00
Li  0.250  0.987  0.491  0.00
Li  0.750  0.487  0.009  0.00
F  0.071  0.622  0.081  0.00
V  0.499  0.394  0.752  1.91
F  0.071  0.878  0.581  0.00
F  0.546  0.645  0.756  0.00
F  0.454  0.355  0.244  0.00
V  0.999  0.606  0.248  1.91
F  0.074  0.083  0.088  0.00
F  0.571  0.378  0.919  0.00
F  0.454  0.145  0.744  0.00
F  0.046  0.145  0.744  0.00

Output
E ... -271.50 eV/cell
M_tot ... 16.000 μB/cell
Space-group type ... Pnma, No. 62